# 1
A relaxed structure of Tc4Ni. Source: Alexandria via LeMat-Bulk, functional PBE.

Cell and atoms, written as CIF:
```
data_Tc4Ni
_chemical_formula_sum 'Tc4 Ni1'
_symmetry_space_group_name_H-M 'P 1'
_symmetry_Int_Tables_number 1
_cell_length_a 4.3530
_cell_length_b 4.3530
_cell_length_c 4.3530
_cell_angle_alpha 90.00
_cell_angle_beta 90.00
_cell_angle_gamma 90.00
loop_
_symmetry_equiv_pos_as_xyz
'x,y,z'
loop_
_atom_site_label
_atom_site_type_symbol
_atom_site_fract_x
_atom_site_fract_y
_atom_site_fract_z
Tc1 Tc 0.0000 0.0000 0.0000
Tc2 Tc 0.0000 0.5000 0.5000
Tc3 Tc 0.5000 0.0000 0.5000
Tc4 Tc 0.5000 0.5000 0.0000
Ni1 Ni 0.5000 0.5000 0.5000
```

Output
Crystal system   cubic
Space-group type   Pm-3m, No. 221
Offset from the most stable computed form   1521 meV/atom
Density of states at the Fermi level   9.73 states/eV per cell


# 2
A relaxed structure of Ta7Pb. Source: Alexandria via LeMat-Bulk, functional PBE.

Cell and atoms, written as CIF:
```
data_Ta7Pb
_chemical_formula_sum 'Ta7 Pb1'
_symmetry_space_group_name_H-M 'P 1'
_symmetry_Int_Tables_number 1
_cell_length_a 5.9949
_cell_length_b 5.9949
_cell_length_c 5.9949
_cell_angle_alpha 60.00
_cell_angle_beta 60.00
_cell_angle_gamma 60.00
loop_
_symmetry_equiv_pos_as_xyz
'x,y,z'
loop_
_atom_site_label
_atom_site_type_symbol
_atom_site_fract_x
_atom_site_fract_y
_atom_site_fract_z
Ta1 Ta 0.0000 0.0000 0.0000
Ta2 Ta 0.0000 0.0000 0.5000
Ta3 Ta 0.0000 0.5000 0.0000
Ta4 Ta 0.0000 0.5000 0.5000
Ta5 Ta 0.5000 0.0000 0.0000
Ta6 Ta 0.5000 0.0000 0.5000
Ta7 Ta 0.5000 0.5000 0.0000
Pb1 Pb 0.5000 0.5000 0.5000
```

Output
Crystal system   cubic
Space-group type   Fm-3m, No. 225
Density of states at the Fermi level   11.49 states/eV per cell
E   -84.53 eV for the cell shown


# 3
A relaxed structure of CsKIn2Cl4. Source: Alexandria via LeMat-Bulk, functional PBE.

Cell and atoms, written as CIF:
```
data_CsKIn2Cl4
_chemical_formula_sum 'Cs1 K1 In2 Cl4'
_symmetry_space_group_name_H-M 'P 1'
_symmetry_Int_Tables_number 1
_cell_length_a 8.0617
_cell_length_b 4.6862
_cell_length_c 8.1177
_cell_angle_alpha 90.00
_cell_angle_beta 109.65
_cell_angle_gamma 90.00
loop_
_symmetry_equiv_pos_as_xyz
'x,y,z'
loop_
_atom_site_label
_atom_site_type_symbol
_atom_site_fract_x
_atom_site_fract_y
_atom_site_fract_z
Cs1 Cs 0.0000 0.0000 0.0000
K1 K 0.0000 0.5000 0.5000
In1 In 0.5000 0.0000 0.5000
In2 In 0.5000 0.5000 0.0000
Cl1 Cl 0.2539 0.0000 0.7404
Cl2 Cl 0.2628 0.5000 0.2673
Cl3 Cl 0.7372 0.5000 0.7327
Cl4 Cl 0.7461 0.0000 0.2596
```

Output
Crystal system   monoclinic
Space-group type   P2/m, No. 10
Raw formation energy   -1361 meV per atom
Density of states at the Fermi level   0.00 states/eV per cell


# 4
A relaxed structure of GaBiS2. Source: Alexandria via LeMat-Bulk, functional PBE.

Cell and atoms, written as CIF:
```
data_GaBiS2
_chemical_formula_sum 'Ga2 Bi2 S4'
_symmetry_space_group_name_H-M 'P 1'
_symmetry_Int_Tables_number 1
_cell_length_a 6.6103
_cell_length_b 6.6103
_cell_length_c 6.6103
_cell_angle_alpha 119.45
_cell_angle_beta 119.45
_cell_angle_gamma 90.96
loop_
_symmetry_equiv_pos_as_xyz
'x,y,z'
loop_
_atom_site_label
_atom_site_type_symbol
_atom_site_fract_x
_atom_site_fract_y
_atom_site_fract_z
Ga1 Ga 0.0000 0.0000 0.0000
Ga2 Ga 0.7500 0.2500 0.5000
Bi1 Bi 0.2500 0.7500 0.5000
Bi2 Bi 0.5000 0.5000 0.0000
S1 S 0.0619 0.6250 0.9369
S2 S 0.3750 0.3119 0.4369
S3 S 0.6881 0.1250 0.0631
S4 S 0.8750 0.9381 0.5631
```

Output
Crystal system   tetragonal
Space-group type   I-42d, No. 122
Raw formation energy   -161 meV per atom
Density of states at the Fermi level   1.53 states/eV per cell


# 5
A relaxed structure of Cu2AgPd. Source: Alexandria via LeMat-Bulk, functional PBE.

Cell and atoms, written as CIF:
```
data_Cu2AgPd
_chemical_formula_sum 'Cu2 Ag1 Pd1'
_symmetry_space_group_name_H-M 'P 1'
_symmetry_Int_Tables_number 1
_cell_length_a 4.0269
_cell_length_b 4.0269
_cell_length_c 3.5284
_cell_angle_alpha 90.00
_cell_angle_beta 90.00
_cell_angle_gamma 90.00
loop_
_symmetry_equiv_pos_as_xyz
'x,y,z'
loop_
_atom_site_label
_atom_site_type_symbol
_atom_site_fract_x
_atom_site_fract_y
_atom_site_fract_z
Cu1 Cu 0.0000 0.5000 0.0000
Cu2 Cu 0.5000 0.0000 0.0000
Ag1 Ag 0.0000 0.0000 0.5000
Pd1 Pd 0.5000 0.5000 0.5000
```

Output
Crystal system   tetragonal
Space-group type   P4/mmm, No. 123
Density of states at the Fermi level   1.38 states/eV per cell
E   -16.34 eV for the cell shown


# 6
A relaxed structure of CeNiBiPd. Source: Alexandria via LeMat-Bulk, functional PBE.

Cell and atoms, written as CIF:
```
data_CeNiBiPd
_chemical_formula_sum 'Ce1 Ni1 Bi1 Pd1'
_symmetry_space_group_name_H-M 'P 1'
_symmetry_Int_Tables_number 1
_cell_length_a 4.8699
_cell_length_b 4.8699
_cell_length_c 4.8699
_cell_angle_alpha 60.00
_cell_angle_beta 60.00
_cell_angle_gamma 60.00
loop_
_symmetry_equiv_pos_as_xyz
'x,y,z'
loop_
_atom_site_label
_atom_site_type_symbol
_atom_site_fract_x
_atom_site_fract_y
_atom_site_fract_z
Ce1 Ce 0.0000 0.0000 0.0000
Ni1 Ni 0.2500 0.2500 0.2500
Bi1 Bi 0.5000 0.5000 0.5000
Pd1 Pd 0.7500 0.7500 0.7500
```

Output
Crystal system   cubic
Space-group type   F-43m, No. 216
Density of states at the Fermi level   3.79 states/eV per cell
E   -22.62 eV for the cell shown


# 7
A relaxed structure of Zr4HgC2. Source: Alexandria via LeMat-Bulk, functional PBE.

Cell and atoms, written as CIF:
```
data_Zr4HgC2
_chemical_formula_sum 'Zr4 Hg1 C2'
_symmetry_space_group_name_H-M 'P 1'
_symmetry_Int_Tables_number 1
_cell_length_a 13.0631
_cell_length_b 13.0631
_cell_length_c 13.0631
_cell_angle_alpha 14.73
_cell_angle_beta 14.73
_cell_angle_gamma 14.73
loop_
_symmetry_equiv_pos_as_xyz
'x,y,z'
loop_
_atom_site_label
_atom_site_type_symbol
_atom_site_fract_x
_atom_site_fract_y
_atom_site_fract_z
Zr1 Zr 0.1295 0.1295 0.1295
Zr2 Zr 0.2690 0.2690 0.2690
Zr3 Zr 0.7310 0.7310 0.7310
Zr4 Zr 0.8705 0.8705 0.8705
Hg1 Hg 0.0000 0.0000 0.0000
C1 C 0.4296 0.4296 0.4296
C2 C 0.5704 0.5704 0.5704
```

Output
Crystal system   trigonal
Space-group type   R-3m, No. 166
Density of states at the Fermi level   3.20 states/eV per cell
E   -57.11 eV for the cell shown


# 8
A relaxed structure of Y2ZnGe3Rh4. Source: Alexandria via LeMat-Bulk, functional PBE.

Cell and atoms, written as CIF:
```
data_Y2ZnGe3Rh4
_chemical_formula_sum 'Y2 Zn1 Ge3 Rh4'
_symmetry_space_group_name_H-M 'P 1'
_symmetry_Int_Tables_number 1
_cell_length_a 4.1595
_cell_length_b 4.1595
_cell_length_c 10.3282
_cell_angle_alpha 90.00
_cell_angle_beta 90.00
_cell_angle_gamma 90.00
loop_
_symmetry_equiv_pos_as_xyz
'x,y,z'
loop_
_atom_site_label
_atom_site_type_symbol
_atom_site_fract_x
_atom_site_fract_y
_atom_site_fract_z
Y1 Y 0.0000 0.5000 0.2499
Y2 Y 0.5000 0.0000 0.7501
Zn1 Zn 0.0000 0.0000 0.5000
Ge1 Ge 0.0000 0.5000 0.8694
Ge2 Ge 0.5000 0.0000 0.1306
Ge3 Ge 0.5000 0.5000 0.5000
Rh1 Rh 0.0000 0.0000 0.0000
Rh2 Rh 0.0000 0.5000 0.6356
Rh3 Rh 0.5000 0.0000 0.3644
Rh4 Rh 0.5000 0.5000 0.0000
```

Output
Crystal system   tetragonal
Space-group type   P-4m2, No. 115
Density of states at the Fermi level   7.00 states/eV per cell
E   -65.65 eV for the cell shown